## KLi2BeFe (GGA-PBE)

Data for crystalline KLi2BeFe at its relaxed geometry.

abc: 5.0101 4.2755 5.0101
angles: 90.00 90.00 90.00
Site moments in Bohr magnetons follow the coordinates.
Fractional positions:
1 Li 0.5000 0.0000 0.0000  -0.02
2 Li 0.0000 0.0000 0.5000  -0.04
3 Be 0.0000 0.0000 0.0000  -0.10
4 Fe 0.0000 0.5000 0.0000  2.65
5 K 0.5000 0.5000 0.5000  -0.01

Summary:
Energy of formation = 0.599 eV/atom
Symmetry = No. 123
Final energy = -14.1 eV/cell